# GGA-PBE KIr2Se, optimized geometry
# **Calculated density**: 8551 kg/m³
# **DOS at the Fermi energy**: 2.56 states/eV per cell
# **Crystal system**: trigonal
# **Size of the total moment**: 0.2498 μB per atom
# **Formation energy (no corrections)**: 0.161 eV per atom
data_KIr2Se
_chemical_formula_sum 'K1 Ir2 Se1'
_cell_length_a 7.699
_cell_length_b 7.699
_cell_length_c 7.699
_cell_angle_alpha 29.44
_cell_angle_beta 29.44
_cell_angle_gamma 29.44
_space_group_name_H-M_alt 'P 1'
_space_group_IT_number 1
loop_
_space_group_symop_operation_xyz
'x,y,z'
loop_
_atom_site_label
_atom_site_fract_x
_atom_site_fract_y
_atom_site_fract_z
K1 0.000 0.000 0.000
Ir1 0.216 0.216 0.216
Ir2 0.505 0.505 0.505
Se1 0.778 0.778 0.778

=====

# GGA-PBE KIr2Se, optimized geometry
# **Calculated density**: 11340 kg/m³
# **DOS at the Fermi energy**: 4.94 states/eV per cell
# **Crystal system**: orthorhombic
# **Size of the total moment**: 0.0002 μB per atom
# **Formation energy (no corrections)**: 0.567 eV per atom
data_KIr2Se
_chemical_formula_sum 'K1 Ir2 Se1'
_cell_length_a 5.994
_cell_length_b 5.994
_cell_length_c 5.994
_cell_angle_alpha 152.71
_cell_angle_beta 131.42
_cell_angle_gamma 56.61
_space_group_name_H-M_alt 'P 1'
_space_group_IT_number 1
loop_
_space_group_symop_operation_xyz
'x,y,z'
loop_
_atom_site_label
_atom_site_fract_x
_atom_site_fract_y
_atom_site_fract_z
K1 0.000 0.000 0.000
Ir1 0.279 0.779 0.500
Ir2 0.721 0.221 0.500
Se1 0.500 0.500 0.000

=====

# GGA-PBE KIrSe4, optimized geometry
# **Calculated density**: 6740 kg/m³
# **DOS at the Fermi energy**: 6.99 states/eV per cell
# **Crystal system**: cubic
# **Size of the total moment**: 0.2384 μB per atom
# **Formation energy (no corrections)**: 0.738 eV per atom
data_KIrSe4
_chemical_formula_sum 'K1 Ir1 Se4'
_cell_length_a 5.755
_cell_length_b 5.755
_cell_length_c 5.755
_cell_angle_alpha 60.00
_cell_angle_beta 60.00
_cell_angle_gamma 60.00
_space_group_name_H-M_alt 'P 1'
_space_group_IT_number 1
loop_
_space_group_symop_operation_xyz
'x,y,z'
loop_
_atom_site_label
_atom_site_fract_x
_atom_site_fract_y
_atom_site_fract_z
K1 0.000 0.000 0.000
Ir1 0.250 0.250 0.250
Se1 0.131 0.623 0.623
Se2 0.623 0.131 0.623
Se3 0.623 0.623 0.131
Se4 0.623 0.623 0.623

=====

# GGA-PBE KIr2Se, optimized geometry
# **Calculated density**: 11065 kg/m³
# **DOS at the Fermi energy**: 5.53 states/eV per cell
# **Crystal system**: trigonal
# **Size of the total moment**: 0.0001 μB per atom
# **Formation energy (no corrections)**: 0.713 eV per atom
data_KIr2Se
_chemical_formula_sum 'K1 Ir2 Se1'
_cell_length_a 9.701
_cell_length_b 9.701
_cell_length_c 9.701
_cell_angle_alpha 17.91
_cell_angle_beta 17.91
_cell_angle_gamma 17.91
_space_group_name_H-M_alt 'P 1'
_space_group_IT_number 1
loop_
_space_group_symop_operation_xyz
'x,y,z'
loop_
_atom_site_label
_atom_site_fract_x
_atom_site_fract_y
_atom_site_fract_z
K1 0.000 0.000 0.000
Ir1 0.233 0.233 0.233
Ir2 0.767 0.767 0.767
Se1 0.500 0.500 0.500

=====

# GGA-PBE KIrSe, optimized geometry
# **Energy above the most stable polymorph in this dataset**: 0.33 eV/f.u.
# **Calculated density**: 7269 kg/m³
# **DOS at the Fermi energy**: 1.12 states/eV per cell
# **Crystal system**: orthorhombic
# **Size of the total moment**: 0.0000 μB per atom
# **Formation energy (no corrections)**: -0.039 eV per atom
data_KIrSe
_chemical_formula_sum 'K1 Ir1 Se1'
_cell_length_a 6.378
_cell_length_b 6.378
_cell_length_c 6.378
_cell_angle_alpha 148.67
_cell_angle_beta 148.20
_cell_angle_gamma 45.25
_space_group_name_H-M_alt 'P 1'
_space_group_IT_number 1
loop_
_space_group_symop_operation_xyz
'x,y,z'
loop_
_atom_site_label
_atom_site_fract_x
_atom_site_fract_y
_atom_site_fract_z
K1 0.000 0.000 0.000
Ir1 0.719 0.719 0.000
Se1 0.277 0.277 0.000

=====

# GGA-PBE KIr2Se, optimized geometry
# **Calculated density**: 11011 kg/m³
# **DOS at the Fermi energy**: 5.62 states/eV per cell
# **Crystal system**: orthorhombic
# **Size of the total moment**: 0.0888 μB per atom
# **Formation energy (no corrections)**: 0.726 eV per atom
data_KIr2Se
_chemical_formula_sum 'K1 Ir2 Se1'
_cell_length_a 2.696
_cell_length_b 5.006
_cell_length_c 5.614
_cell_angle_alpha 90.00
_cell_angle_beta 90.00
_cell_angle_gamma 90.00
_space_group_name_H-M_alt 'P 1'
_space_group_IT_number 1
loop_
_space_group_symop_operation_xyz
'x,y,z'
loop_
_atom_site_label
_atom_site_fract_x
_atom_site_fract_y
_atom_site_fract_z
K1 0.000 0.000 0.000
Ir1 0.000 0.500 0.500
Ir2 0.500 0.000 0.500
Se1 0.500 0.500 0.000

=====

# GGA-PBE K2IrSe, optimized geometry
# **Calculated density**: 6334 kg/m³
# **DOS at the Fermi energy**: 4.65 states/eV per cell
# **Crystal system**: trigonal
# **Size of the total moment**: 0.0928 μB per atom
# **Formation energy (no corrections)**: 0.428 eV per atom
data_K2IrSe
_chemical_formula_sum 'K2 Ir1 Se1'
_cell_length_a 10.834
_cell_length_b 10.834
_cell_length_c 10.834
_cell_angle_alpha 16.70
_cell_angle_beta 16.70
_cell_angle_gamma 16.70
_space_group_name_H-M_alt 'P 1'
_space_group_IT_number 1
loop_
_space_group_symop_operation_xyz
'x,y,z'
loop_
_atom_site_label
_atom_site_fract_x
_atom_site_fract_y
_atom_site_fract_z
K1 0.250 0.250 0.250
K2 0.750 0.750 0.750
Ir1 0.000 0.000 0.000
Se1 0.500 0.500 0.500

=====

# GGA-PBE K2IrSe, optimized geometry
# **Calculated density**: 4540 kg/m³
# **DOS at the Fermi energy**: 1.53 states/eV per cell
# **Crystal system**: orthorhombic
# **Size of the total moment**: 0.0000 μB per atom
# **Formation energy (no corrections)**: -0.238 eV per atom
data_K2IrSe
_chemical_formula_sum 'K2 Ir1 Se1'
_cell_length_a 4.464
_cell_length_b 6.015
_cell_length_c 6.015
_cell_angle_alpha 52.31
_cell_angle_beta 90.00
_cell_angle_gamma 90.00
_space_group_name_H-M_alt 'P 1'
_space_group_IT_number 1
loop_
_space_group_symop_operation_xyz
'x,y,z'
loop_
_atom_site_label
_atom_site_fract_x
_atom_site_fract_y
_atom_site_fract_z
K1 0.000 0.000 0.000
K2 0.500 0.303 0.303
Ir1 0.500 0.617 0.617
Se1 0.000 0.687 0.687

=====

# GGA-PBE KIr2Se, optimized geometry
# **Calculated density**: 9844 kg/m³
# **DOS at the Fermi energy**: 3.44 states/eV per cell
# **Crystal system**: orthorhombic
# **Size of the total moment**: 0.0000 μB per atom
# **Formation energy (no corrections)**: 0.509 eV per atom
data_KIr2Se
_chemical_formula_sum 'K1 Ir2 Se1'
_cell_length_a 6.115
_cell_length_b 6.115
_cell_length_c 6.115
_cell_angle_alpha 152.91
_cell_angle_beta 124.84
_cell_angle_gamma 62.50
_space_group_name_H-M_alt 'P 1'
_space_group_IT_number 1
loop_
_space_group_symop_operation_xyz
'x,y,z'
loop_
_atom_site_label
_atom_site_fract_x
_atom_site_fract_y
_atom_site_fract_z
K1 0.000 0.000 0.000
Ir1 0.475 0.475 0.000
Ir2 0.683 0.183 0.500
Se1 0.290 0.790 0.500

=====

# GGA-PBE KIr2Se, optimized geometry
# **Calculated density**: 11430 kg/m³
# **DOS at the Fermi energy**: 5.89 states/eV per cell
# **Crystal system**: tetragonal
# **Size of the total moment**: 0.0002 μB per atom
# **Formation energy (no corrections)**: 0.927 eV per atom
data_KIr2Se
_chemical_formula_sum 'K1 Ir2 Se1'
_cell_length_a 4.035
_cell_length_b 4.035
_cell_length_c 4.483
_cell_angle_alpha 90.00
_cell_angle_beta 90.00
_cell_angle_gamma 90.00
_space_group_name_H-M_alt 'P 1'
_space_group_IT_number 1
loop_
_space_group_symop_operation_xyz
'x,y,z'
loop_
_atom_site_label
_atom_site_fract_x
_atom_site_fract_y
_atom_site_fract_z
K1 0.000 0.000 0.000
Ir1 0.000 0.500 0.500
Ir2 0.500 0.000 0.500
Se1 0.500 0.500 0.000

=====

# GGA-PBE K2IrSe, optimized geometry
# **Calculated density**: 6374 kg/m³
# **DOS at the Fermi energy**: 2.53 states/eV per cell
# **Crystal system**: orthorhombic
# **Size of the total moment**: 0.0006 μB per atom
# **Formation energy (no corrections)**: 0.280 eV per atom
data_K2IrSe
_chemical_formula_sum 'K2 Ir1 Se1'
_cell_length_a 5.934
_cell_length_b 5.934
_cell_length_c 2.927
_cell_angle_alpha 90.00
_cell_angle_beta 90.00
_cell_angle_gamma 117.97
_space_group_name_H-M_alt 'P 1'
_space_group_IT_number 1
loop_
_space_group_symop_operation_xyz
'x,y,z'
loop_
_atom_site_label
_atom_site_fract_x
_atom_site_fract_y
_atom_site_fract_z
K1 0.000 0.500 0.000
K2 0.500 0.000 0.000
Ir1 0.000 0.000 0.500
Se1 0.500 0.500 0.500

=====

# GGA-PBE KIr2Se, optimized geometry
# **Calculated density**: 9863 kg/m³
# **DOS at the Fermi energy**: 3.56 states/eV per cell
# **Crystal system**: orthorhombic
# **Size of the total moment**: 0.0000 μB per atom
# **Formation energy (no corrections)**: 0.314 eV per atom
data_KIr2Se
_chemical_formula_sum 'K1 Ir2 Se1'
_cell_length_a 2.835
_cell_length_b 4.073
_cell_length_c 7.325
_cell_angle_alpha 90.00
_cell_angle_beta 90.00
_cell_angle_gamma 90.00
_space_group_name_H-M_alt 'P 1'
_space_group_IT_number 1
loop_
_space_group_symop_operation_xyz
'x,y,z'
loop_
_atom_site_label
_atom_site_fract_x
_atom_site_fract_y
_atom_site_fract_z
K1 0.000 0.000 0.000
Ir1 0.000 0.000 0.544
Ir2 0.500 0.500 0.656
Se1 0.500 0.500 0.307

=====

# GGA-PBE K2IrSe, optimized geometry
# **Calculated density**: 6156 kg/m³
# **DOS at the Fermi energy**: 4.51 states/eV per cell
# **Crystal system**: tetragonal
# **Size of the total moment**: 0.1788 μB per atom
# **Formation energy (no corrections)**: 0.421 eV per atom
data_K2IrSe
_chemical_formula_sum 'K2 Ir1 Se1'
_cell_length_a 5.111
_cell_length_b 5.111
_cell_length_c 5.111
_cell_angle_alpha 120.12
_cell_angle_beta 120.12
_cell_angle_gamma 89.78
_space_group_name_H-M_alt 'P 1'
_space_group_IT_number 1
loop_
_space_group_symop_operation_xyz
'x,y,z'
loop_
_atom_site_label
_atom_site_fract_x
_atom_site_fract_y
_atom_site_fract_z
K1 0.000 0.000 0.000
K2 0.750 0.250 0.500
Ir1 0.500 0.500 0.000
Se1 0.250 0.750 0.500

=====

# GGA-PBE KIr2Se, optimized geometry
# **Calculated density**: 10862 kg/m³
# **DOS at the Fermi energy**: 2.19 states/eV per cell
# **Crystal system**: tetragonal
# **Size of the total moment**: 0.0000 μB per atom
# **Formation energy (no corrections)**: 0.646 eV per atom
data_KIr2Se
_chemical_formula_sum 'K1 Ir2 Se1'
_cell_length_a 2.989
_cell_length_b 2.989
_cell_length_c 8.601
_cell_angle_alpha 90.00
_cell_angle_beta 90.00
_cell_angle_gamma 90.00
_space_group_name_H-M_alt 'P 1'
_space_group_IT_number 1
loop_
_space_group_symop_operation_xyz
'x,y,z'
loop_
_atom_site_label
_atom_site_fract_x
_atom_site_fract_y
_atom_site_fract_z
K1 0.000 0.000 0.000
Ir1 0.500 0.500 0.317
Ir2 0.500 0.500 0.683
Se1 0.000 0.000 0.500

=====

# GGA-PBE KIrSe, optimized geometry
# **Energy above the most stable polymorph in this dataset**: 0.00 eV/f.u.
# **Calculated density**: 6523 kg/m³
# **DOS at the Fermi energy**: 2.76 states/eV per cell
# **Crystal system**: hexagonal
# **Size of the total moment**: 0.0000 μB per atom
# **Formation energy (no corrections)**: -0.149 eV per atom
data_KIrSe
_chemical_formula_sum 'K1 Ir1 Se1'
_cell_length_a 4.153
_cell_length_b 4.153
_cell_length_c 5.289
_cell_angle_alpha 90.00
_cell_angle_beta 90.00
_cell_angle_gamma 120.00
_space_group_name_H-M_alt 'P 1'
_space_group_IT_number 1
loop_
_space_group_symop_operation_xyz
'x,y,z'
loop_
_atom_site_label
_atom_site_fract_x
_atom_site_fract_y
_atom_site_fract_z
K1 0.000 0.000 0.000
Ir1 0.333 0.667 0.500
Se1 0.667 0.333 0.500

=====

# GGA-PBE KIr4Se, optimized geometry
# **Calculated density**: 13614 kg/m³
# **DOS at the Fermi energy**: 7.70 states/eV per cell
# **Crystal system**: cubic
# **Size of the total moment**: 0.0000 μB per atom
# **Formation energy (no corrections)**: 0.764 eV per atom
data_KIr4Se
_chemical_formula_sum 'K1 Ir4 Se1'
_cell_length_a 5.348
_cell_length_b 5.348
_cell_length_c 5.348
_cell_angle_alpha 60.00
_cell_angle_beta 60.00
_cell_angle_gamma 60.00
_space_group_name_H-M_alt 'P 1'
_space_group_IT_number 1
loop_
_space_group_symop_operation_xyz
'x,y,z'
loop_
_atom_site_label
_atom_site_fract_x
_atom_site_fract_y
_atom_site_fract_z
K1 0.000 0.000 0.000
Ir1 0.375 0.375 0.375
Ir2 0.375 0.375 0.874
Ir3 0.375 0.874 0.375
Ir4 0.874 0.375 0.375
Se1 0.750 0.750 0.750

=====

# GGA-PBE K2IrSe, optimized geometry
# **Calculated density**: 3250 kg/m³
# **DOS at the Fermi energy**: 4.09 states/eV per cell
# **Crystal system**: tetragonal
# **Size of the total moment**: 0.0000 μB per atom
# **Formation energy (no corrections)**: -0.125 eV per atom
data_K2IrSe
_chemical_formula_sum 'K4 Ir2 Se2'
_cell_length_a 9.133
_cell_length_b 9.133
_cell_length_c 9.133
_cell_angle_alpha 93.58
_cell_angle_beta 93.58
_cell_angle_gamma 151.05
_space_group_name_H-M_alt 'P 1'
_space_group_IT_number 1
loop_
_space_group_symop_operation_xyz
'x,y,z'
loop_
_atom_site_label
_atom_site_fract_x
_atom_site_fract_y
_atom_site_fract_z
K1 0.375 0.142 0.267
K2 0.858 0.125 0.233
K3 0.875 0.108 0.733
K4 0.892 0.625 0.767
Ir1 0.250 0.750 0.500
Ir2 0.500 0.500 0.000
Se1 0.000 0.000 0.000
Se2 0.750 0.250 0.500

=====

# GGA-PBE KIr2Se, optimized geometry
# **Calculated density**: 8176 kg/m³
# **DOS at the Fermi energy**: 3.26 states/eV per cell
# **Crystal system**: monoclinic
# **Size of the total moment**: 0.0000 μB per atom
# **Formation energy (no corrections)**: 0.347 eV per atom
data_KIr2Se
_chemical_formula_sum 'K1 Ir2 Se1'
_cell_length_a 6.113
_cell_length_b 6.113
_cell_length_c 7.102
_cell_angle_alpha 123.61
_cell_angle_beta 123.61
_cell_angle_gamma 27.92
_space_group_name_H-M_alt 'P 1'
_space_group_IT_number 1
loop_
_space_group_symop_operation_xyz
'x,y,z'
loop_
_atom_site_label
_atom_site_fract_x
_atom_site_fract_y
_atom_site_fract_z
K1 0.000 0.000 0.000
Ir1 0.190 0.190 0.563
Ir2 0.810 0.810 0.437
Se1 0.500 0.500 0.500

=====

# GGA-PBE K2Ir3Se6, optimized geometry
# **Calculated density**: 6684 kg/m³
# **DOS at the Fermi energy**: 8.86 states/eV per cell
# **Crystal system**: monoclinic
# **Size of the total moment**: 0.0000 μB per atom
# **Formation energy (no corrections)**: -0.547 eV per atom
data_K2Ir3Se6
_chemical_formula_sum 'K2 Ir3 Se6'
_cell_length_a 6.648
_cell_length_b 6.648
_cell_length_c 7.654
_cell_angle_alpha 98.33
_cell_angle_beta 98.33
_cell_angle_gamma 120.01
_space_group_name_H-M_alt 'P 1'
_space_group_IT_number 1
loop_
_space_group_symop_operation_xyz
'x,y,z'
loop_
_atom_site_label
_atom_site_fract_x
_atom_site_fract_y
_atom_site_fract_z
K1 0.167 0.833 0.000
K2 0.833 0.167 0.000
Ir1 0.000 0.000 0.500
Ir2 0.332 0.668 0.500
Ir3 0.668 0.332 0.500
Se1 0.057 0.389 0.666
Se2 0.279 0.279 0.333
Se3 0.389 0.057 0.666
Se4 0.611 0.943 0.334
Se5 0.721 0.721 0.667
Se6 0.943 0.611 0.334

=====

# GGA-PBE KIrSe, optimized geometry
# **Energy above the most stable polymorph in this dataset**: 2.44 eV/f.u.
# **Calculated density**: 7167 kg/m³
# **DOS at the Fermi energy**: 3.68 states/eV per cell
# **Crystal system**: cubic
# **Size of the total moment**: 0.3455 μB per atom
# **Formation energy (no corrections)**: 0.663 eV per atom
data_KIrSe
_chemical_formula_sum 'K1 Ir1 Se1'
_cell_length_a 4.667
_cell_length_b 4.667
_cell_length_c 4.667
_cell_angle_alpha 60.00
_cell_angle_beta 60.00
_cell_angle_gamma 60.00
_space_group_name_H-M_alt 'P 1'
_space_group_IT_number 1
loop_
_space_group_symop_operation_xyz
'x,y,z'
loop_
_atom_site_label
_atom_site_fract_x
_atom_site_fract_y
_atom_site_fract_z
K1 0.000 0.000 0.000
Ir1 0.500 0.500 0.500
Se1 0.250 0.250 0.250